PBE with a Hubbard U GaCoIrO6, optimized geometry; total energy = -110.3 eV for the cell shown
1.0
5.0799 0.0000 0.0000
-2.5400 4.3993 0.0000
0.0000 0.0000 8.6276
Ga Co Ir O
2 2 2 12
Direct
0.3333 0.6667 0.2500
0.6667 0.3333 0.7500
0.0000 0.0000 0.0000
0.0000 0.0000 0.5000
0.3333 0.6667 0.7500
0.6667 0.3333 0.2500
0.0083 0.3524 0.6284
0.0083 0.6559 0.8716
0.3441 0.3524 0.8716
0.3441 0.9917 0.6284
0.3524 0.0083 0.1284
0.3524 0.3441 0.3716
0.6476 0.6559 0.6284
0.6476 0.9917 0.8716
0.6559 0.0083 0.3716
0.6559 0.6476 0.1284
0.9917 0.3441 0.1284
0.9917 0.6476 0.3716